Sm2Y5Sc4 PBE relaxed; energy relative to the elements = 210.6 meV per atom
1.0
-1.6979 4.1609 -5.7209
-5.4767 -0.6304 -3.4587
-7.1120 6.1744 1.9758
Sm Y Sc
2 5 4
direct
0.1492 0.8259 0.8758
0.8508 0.1741 0.1242
0.2167 0.3566 0.7769
0.7833 0.6434 0.2231
0.0000 0.5000 0.5000
0.6497 0.3566 0.7769
0.3503 0.6434 0.2231
0.3175 0.8718 0.4933
0.6825 0.1282 0.5067
0.6708 0.7854 0.8730
0.3292 0.2146 0.1270


Sm3YSc7 PBE relaxed; energy relative to the elements = 297.5 meV per atom
1.0
-3.2719 0.2777 -4.4049
-4.1828 -2.4477 6.3785
-0.1810 6.9395 3.9979
Sm Y Sc
3 1 7
direct
0.0000 0.7851 0.2149
0.5000 0.0000 0.0000
0.0000 0.2149 0.7851
0.5000 0.5000 0.5000
0.2068 0.2068 0.2068
0.2800 0.9686 0.5913
0.7200 0.4087 0.0314
0.2800 0.5913 0.9686
0.0000 0.5000 0.5000
0.7200 0.0314 0.4087
0.7932 0.7932 0.7932


Sm6Y12Sc PBE relaxed; energy relative to the elements = 356.7 meV per atom
1.0
9.3600 -1.8415 -2.6595
-2.9651 9.0669 -2.6595
-1.6298 -1.8415 9.5930
Sm Y Sc
6 12 1
direct
0.6747 0.3589 0.6747
0.6747 0.6747 0.3589
0.3589 0.6747 0.6747
0.3253 0.3253 0.6411
0.3253 0.6411 0.3253
0.6411 0.3253 0.3253
0.8852 0.1148 0.5000
0.2363 0.9249 0.2363
0.2363 0.2363 0.9249
0.0751 0.7637 0.7637
0.7637 0.7637 0.0751
0.7637 0.0751 0.7637
0.5000 0.8852 0.1148
0.1148 0.5000 0.8852
0.1148 0.8852 0.5000
0.5000 0.1148 0.8852
0.8852 0.5000 0.1148
0.9249 0.2363 0.2363
0.0000 0.0000 0.0000


Sm4YSc2 PBE relaxed; energy above the lowest structure with this stoichiometry = 0.0000 eV/atom; energy relative to the elements = 154.7 meV per atom
1.0
-3.9588 -0.8737 3.7606
-0.8658 -6.3591 -2.3889
9.8719 -3.4197 5.5252
Sm Y Sc
8 2 4
direct
0.6450 0.4990 0.2904
0.9287 0.7500 0.8510
0.0713 0.2500 0.1490
0.6450 0.0010 0.2904
0.7852 0.2500 0.5676
0.3550 0.9990 0.7096
0.3550 0.5010 0.7096
0.2148 0.7500 0.4324
0.0749 0.7500 0.1435
0.9251 0.2500 0.8565
0.5009 0.7500 0.9938
0.4991 0.2500 0.0062
0.2138 0.2500 0.4252
0.7862 0.7500 0.5748


no.,DOS(E_F) (states/eV/cell),ρ (g cm⁻³),magnetization (μB/cell)
1,19.03,4.62,0.000
2,14.71,4.56,0.324
3,25.72,5.11,0.000
4,24.53,5.96,0.000